(1)
First-principles (PBE) data for Dy5PdAu4 after structural relaxation, as listed in the Alexandria database.

E_form ... -0.866 eV/atom

The structure in CIF format:
```
data_Dy5PdAu4
_cell_length_a 3.564
_cell_length_b 3.564
_cell_length_c 18.084
_cell_angle_alpha 90.00
_cell_angle_beta 90.00
_cell_angle_gamma 90.00
_space_group_name_H-M_alt 'P 4/m m m'
_space_group_IT_number 123
_space_group_name_Hall '-P 4 2'
loop_
_atom_site_label
_atom_site_type_symbol
_atom_site_fract_x
_atom_site_fract_y
_atom_site_fract_z
Dy1 Dy 0.000 0.000 0.000
Dy2 Dy 0.000 0.000 0.202
Dy3 Dy 0.000 0.000 0.404
Pd1 Pd 0.500 0.500 0.500
Au1 Au 0.500 0.500 0.101
Au2 Au 0.500 0.500 0.303
```


(2)
First-principles (PBE) data for La5Hg2Sb after structural relaxation, as listed in the Alexandria database.

Formation energy (no corrections) ... -0.5655 eV per atom

The structure in CIF format:
```
data_La5Hg2Sb
_cell_length_a 8.787
_cell_length_b 8.787
_cell_length_c 13.199
_cell_angle_alpha 90.00
_cell_angle_beta 90.00
_cell_angle_gamma 90.00
_space_group_name_H-M_alt 'I 4/m c m'
_space_group_IT_number 140
_space_group_name_Hall '-I 4 2c'
loop_
_atom_site_label
_atom_site_type_symbol
_atom_site_fract_x
_atom_site_fract_y
_atom_site_fract_z
La1 La 0.000 0.000 0.000
La2 La 0.161 0.339 0.153
Hg1 Hg 0.134 0.366 0.500
Sb1 Sb 0.000 0.000 0.250
```


(3)
First-principles (PBE) data for BaSr2Y2Cu2PtO10 after structural relaxation, as listed in the Alexandria database.

Formation energy (no corrections) ... -2.1476 eV per atom

The structure in CIF format:
```
data_BaSr2Y2Cu2PtO10
_cell_length_a 12.381
_cell_length_b 5.736
_cell_length_c 7.505
_cell_angle_alpha 90.00
_cell_angle_beta 105.46
_cell_angle_gamma 90.00
_space_group_name_H-M_alt 'C 1 m 1'
_space_group_IT_number 8
_space_group_name_Hall 'C -2y'
loop_
_atom_site_label
_atom_site_type_symbol
_atom_site_fract_x
_atom_site_fract_y
_atom_site_fract_z
Ba1 Ba 0.000 0.000 0.000
Sr1 Sr 0.151 0.000 0.529
Sr2 Sr 0.299 0.000 0.055
Y1 Y 0.339 0.500 0.403
Y2 Y 0.461 0.000 0.657
Cu1 Cu 0.065 0.500 0.335
Cu2 Cu 0.236 0.500 0.725
Pt1 Pt 0.149 0.500 0.031
O1 O 0.134 0.270 0.815
O2 O 0.170 0.270 0.247
O3 O 0.317 0.500 0.081
O4 O 0.325 0.263 0.645
O5 O 0.476 0.000 0.980
O6 O 0.476 0.236 0.414
```


(4)
First-principles (PBE) data for Sr2Ni after structural relaxation, as listed in the Alexandria database.

E_form ... 0.060 eV/atom

The structure in CIF format:
```
data_Sr2Ni
_cell_length_a 4.2802
_cell_length_b 4.2802
_cell_length_c 7.0380
_cell_angle_alpha 90.00
_cell_angle_beta 90.00
_cell_angle_gamma 120.00
_space_group_name_H-M_alt 'P -3 m 1'
_space_group_IT_number 164
_space_group_name_Hall '-P 3 2"'
loop_
_atom_site_label
_atom_site_type_symbol
_atom_site_fract_x
_atom_site_fract_y
_atom_site_fract_z
Sr1 Sr 0.3333 0.6667 0.2674
Ni1 Ni 0.0000 0.0000 0.5000
```


(5)
First-principles (PBE) data for La2Pm6Nd after structural relaxation, as listed in the Alexandria database.

E_form ... 0.614 eV/atom

The structure in CIF format:
```
data_La2Pm6Nd
_cell_length_a 5.711
_cell_length_b 5.711
_cell_length_c 22.010
_cell_angle_alpha 90.00
_cell_angle_beta 90.00
_cell_angle_gamma 90.00
_space_group_name_H-M_alt 'P 42/m n m'
_space_group_IT_number 136
_space_group_name_Hall '-P 4n 2n'
loop_
_atom_site_label
_atom_site_type_symbol
_atom_site_fract_x
_atom_site_fract_y
_atom_site_fract_z
La1 La 0.000 0.000 0.235
Pm1 Pm 0.171 0.171 0.000
Pm2 Pm 0.223 0.223 0.379
Nd1 Nd 0.000 0.000 0.500
```


(6)
First-principles (PBE) data for KVBrCl4 after structural relaxation, as listed in the Alexandria database.

Formation energy (no corrections) ... -1.2902 eV per atom

The structure in CIF format:
```
data_KVBrCl4
_cell_length_a 13.674
_cell_length_b 9.094
_cell_length_c 8.529
_cell_angle_alpha 90.00
_cell_angle_beta 113.52
_cell_angle_gamma 90.00
_space_group_name_H-M_alt 'C 1 2/m 1'
_space_group_IT_number 12
_space_group_name_Hall '-C 2y'
loop_
_atom_site_label
_atom_site_type_symbol
_atom_site_fract_x
_atom_site_fract_y
_atom_site_fract_z
K1 K 0.177 0.000 0.277
V1 V 0.218 0.000 0.776
Br1 Br 0.133 0.500 0.313
Cl1 Cl 0.077 0.000 0.869
Cl2 Cl 0.154 0.204 0.631
Cl3 Cl 0.169 0.500 0.955
```


(7)
First-principles (PBE) data for Mg2AlB2Rh5 after structural relaxation, as listed in the Alexandria database.

E_form ... -0.719 eV/atom

The structure in CIF format:
```
data_Mg2AlB2Rh5
_cell_length_a 9.413
_cell_length_b 9.413
_cell_length_c 2.921
_cell_angle_alpha 90.00
_cell_angle_beta 90.00
_cell_angle_gamma 90.00
_space_group_name_H-M_alt 'P 4/m b m'
_space_group_IT_number 127
_space_group_name_Hall '-P 4 2ab'
loop_
_atom_site_label
_atom_site_type_symbol
_atom_site_fract_x
_atom_site_fract_y
_atom_site_fract_z
Mg1 Mg 0.176 0.324 0.000
Al1 Al 0.000 0.000 0.000
B1 B 0.127 0.627 0.000
Rh1 Rh 0.000 0.500 0.500
Rh2 Rh 0.070 0.785 0.500
```


(8)
First-principles (PBE) data for Y2Ga5Pd2Rh after structural relaxation, as listed in the Alexandria database.

E_form ... -0.616 eV/atom

The structure in CIF format:
```
data_Y2Ga5Pd2Rh
_cell_length_a 9.436
_cell_length_b 9.436
_cell_length_c 4.095
_cell_angle_alpha 90.00
_cell_angle_beta 90.00
_cell_angle_gamma 90.00
_space_group_name_H-M_alt 'P 4/m b m'
_space_group_IT_number 127
_space_group_name_Hall '-P 4 2ab'
loop_
_atom_site_label
_atom_site_type_symbol
_atom_site_fract_x
_atom_site_fract_y
_atom_site_fract_z
Y1 Y 0.184 0.316 0.000
Ga1 Ga 0.000 0.500 0.500
Ga2 Ga 0.052 0.805 0.500
Pd1 Pd 0.114 0.614 0.000
Rh1 Rh 0.000 0.000 0.000
```


(9)
First-principles (PBE) data for Fe2RhW after structural relaxation, as listed in the Alexandria database.

E_form ... 0.210 eV/atom

The structure in CIF format:
```
data_Fe2RhW
_cell_length_a 2.7030
_cell_length_b 2.7030
_cell_length_c 26.2540
_cell_angle_alpha 90.00
_cell_angle_beta 90.00
_cell_angle_gamma 120.00
_space_group_name_H-M_alt 'R -3 m'
_space_group_IT_number 166
_space_group_name_Hall '-R 3 2"'
loop_
_atom_site_label
_atom_site_type_symbol
_atom_site_fract_x
_atom_site_fract_y
_atom_site_fract_z
Fe1 Fe 0.0000 0.0000 0.2477
Rh1 Rh 0.0000 0.0000 0.5000
W1 W 0.0000 0.0000 0.0000
```


(10)
First-principles (PBE) data for FeReHg after structural relaxation, as listed in the Alexandria database.

E_form ... 0.450 eV/atom

The structure in CIF format:
```
data_FeReHg
_cell_length_a 2.833
_cell_length_b 2.833
_cell_length_c 11.634
_cell_angle_alpha 90.00
_cell_angle_beta 90.00
_cell_angle_gamma 90.00
_space_group_name_H-M_alt 'I 4 m m'
_space_group_IT_number 107
_space_group_name_Hall 'I 4 -2'
loop_
_atom_site_label
_atom_site_type_symbol
_atom_site_fract_x
_atom_site_fract_y
_atom_site_fract_z
Fe1 Fe 0.000 0.000 0.000
Re1 Re 0.000 0.000 0.622
Hg1 Hg 0.000 0.000 0.320
```


(11)
First-principles (PBE) data for Sr2Au7 after structural relaxation, as listed in the Alexandria database.

E_form ... -0.505 eV/atom

The structure in CIF format:
```
data_Sr2Au7
_cell_length_a 5.7771
_cell_length_b 5.7771
_cell_length_c 42.1120
_cell_angle_alpha 90.00
_cell_angle_beta 90.00
_cell_angle_gamma 120.00
_space_group_name_H-M_alt 'R -3 m'
_space_group_IT_number 166
_space_group_name_Hall '-R 3 2"'
loop_
_atom_site_label
_atom_site_type_symbol
_atom_site_fract_x
_atom_site_fract_y
_atom_site_fract_z
Sr1 Sr 0.0000 0.0000 0.0507
Sr2 Sr 0.0000 0.0000 0.1490
Au1 Au 0.0000 0.0000 0.2778
Au2 Au 0.0000 0.0000 0.3887
Au3 Au 0.0000 0.0000 0.5000
Au4 Au 0.0000 0.5000 0.0000
Au5 Au 0.0035 0.5017 0.8887
```


(12)
First-principles (PBE) data for ZrZnCr2Cl after structural relaxation, as listed in the Alexandria database.

Formation energy (no corrections) ... 0.7613 eV per atom

The structure in CIF format:
```
data_ZrZnCr2Cl
_cell_length_a 4.142
_cell_length_b 4.142
_cell_length_c 4.919
_cell_angle_alpha 90.00
_cell_angle_beta 90.00
_cell_angle_gamma 90.00
_space_group_name_H-M_alt 'P 4/m m m'
_space_group_IT_number 123
_space_group_name_Hall '-P 4 2'
loop_
_atom_site_label
_atom_site_type_symbol
_atom_site_fract_x
_atom_site_fract_y
_atom_site_fract_z
Zr1 Zr 0.000 0.000 0.000
Zn1 Zn 0.500 0.500 0.000
Cr1 Cr 0.000 0.500 0.500
Cl1 Cl 0.500 0.500 0.500
```


Here are the calculated spin magnetization numbers, same order: 0.000, 0.000, 0.111, 0.000, 0.000, 0.143, 0.000, 0.000, 1.413, 0.208, 0.000, 0.000 (μB per atom).
Here are the calculated E_tot numbers, same order: -49.97, -135.55, -241.37, -8.97, -75.20, -113.23, -128.46, -103.92, -109.18, -39.72, -185.08, -27.11 (eV per cell).